# GGA-PBE TiBe2Co3, relaxed
# Raw total energy   -38.64 eV per cell
# Space-group type   P4/mmm, No. 123
# Offset from the most stable computed form   3.1 kJ per mole of atoms
data_TiBe2Co3
_space_group_name_H-M_alt 'P 1'
_space_group_IT_number 1
_cell_length_a 2.784
_cell_length_b 2.784
_cell_length_c 7.936
_cell_angle_alpha 90.00
_cell_angle_beta 90.00
_cell_angle_gamma 90.00
loop_
_space_group_symop_operation_xyz
'x,y,z'
loop_
_atom_site_label
_atom_site_fract_x
_atom_site_fract_y
_atom_site_fract_z
Ti1 0.000 0.000 0.000
Be1 0.000 0.000 0.351
Be2 0.000 0.000 0.649
Co1 0.500 0.500 0.188
Co2 0.500 0.500 0.500
Co3 0.500 0.500 0.812

# GGA-PBE PmGaOs2C, relaxed
# Raw total energy   -81.48 eV per cell
# Space-group type   Cmcm, No. 63
data_PmGaOs2C
_space_group_name_H-M_alt 'P 1'
_space_group_IT_number 1
_cell_length_a 5.878
_cell_length_b 5.878
_cell_length_c 7.340
_cell_angle_alpha 90.00
_cell_angle_beta 90.00
_cell_angle_gamma 139.37
loop_
_space_group_symop_operation_xyz
'x,y,z'
loop_
_atom_site_label
_atom_site_fract_x
_atom_site_fract_y
_atom_site_fract_z
Pm1 0.049 0.951 0.750
Pm2 0.951 0.049 0.250
Ga1 0.231 0.769 0.250
Ga2 0.769 0.231 0.750
Os1 0.333 0.667 0.562
Os2 0.333 0.667 0.938
Os3 0.667 0.333 0.062
Os4 0.667 0.333 0.438
C1 0.500 0.500 0.000
C2 0.500 0.500 0.500

# GGA-PBE NbZn3Se, relaxed
# Raw formation energy   1.0161 eV per atom
# Raw total energy   -12.30 eV per cell
# Space-group type   Pm-3m, No. 221
# Offset from the most stable computed form   0.0 kJ per mole of atoms
data_NbZn3Se
_space_group_name_H-M_alt 'P 1'
_space_group_IT_number 1
_cell_length_a 4.800
_cell_length_b 4.800
_cell_length_c 4.800
_cell_angle_alpha 90.00
_cell_angle_beta 90.00
_cell_angle_gamma 90.00
loop_
_space_group_symop_operation_xyz
'x,y,z'
loop_
_atom_site_label
_atom_site_fract_x
_atom_site_fract_y
_atom_site_fract_z
Nb1 0.000 0.000 0.000
Zn1 0.000 0.500 0.500
Zn2 0.500 0.000 0.500
Zn3 0.500 0.500 0.000
Se1 0.500 0.500 0.500

# GGA-PBE PaTaGa, relaxed
# Raw total energy   -24.54 eV per cell
# Space-group type   I4mm, No. 107
# Offset from the most stable computed form   0.0 kJ per mole of atoms
data_PaTaGa
_space_group_name_H-M_alt 'P 1'
_space_group_IT_number 1
_cell_length_a 6.998
_cell_length_b 6.998
_cell_length_c 6.998
_cell_angle_alpha 155.32
_cell_angle_beta 155.32
_cell_angle_gamma 35.19
loop_
_space_group_symop_operation_xyz
'x,y,z'
loop_
_atom_site_label
_atom_site_fract_x
_atom_site_fract_y
_atom_site_fract_z
Pa1 0.000 0.000 0.000
Ta1 0.683 0.683 0.000
Ga1 0.327 0.327 0.000

# GGA-PBE Ca4Ru3, relaxed
# Raw total energy   -33.60 eV per cell
# Space-group type   P6/mmm, No. 191
data_Ca4Ru3
_space_group_name_H-M_alt 'P 1'
_space_group_IT_number 1
_cell_length_a 5.456
_cell_length_b 5.456
_cell_length_c 6.123
_cell_angle_alpha 90.00
_cell_angle_beta 90.00
_cell_angle_gamma 120.00
loop_
_space_group_symop_operation_xyz
'x,y,z'
loop_
_atom_site_label
_atom_site_fract_x
_atom_site_fract_y
_atom_site_fract_z
Ca1 0.000 0.000 0.226
Ca2 0.000 0.000 0.774
Ca3 0.333 0.667 0.500
Ca4 0.667 0.333 0.500
Ru1 0.000 0.500 0.000
Ru2 0.500 0.000 0.000
Ru3 0.500 0.500 0.000

# GGA-PBE LaTm2Mn, relaxed
# Raw total energy   -22.65 eV per cell
# Space-group type   P4/mmm, No. 123
# Offset from the most stable computed form   0.0 kJ per mole of atoms
data_LaTm2Mn
_space_group_name_H-M_alt 'P 1'
_space_group_IT_number 1
_cell_length_a 3.458
_cell_length_b 3.458
_cell_length_c 9.135
_cell_angle_alpha 90.00
_cell_angle_beta 90.00
_cell_angle_gamma 90.00
loop_
_space_group_symop_operation_xyz
'x,y,z'
loop_
_atom_site_label
_atom_site_fract_x
_atom_site_fract_y
_atom_site_fract_z
La1 0.000 0.000 0.000
Tm1 0.500 0.500 0.314
Tm2 0.500 0.500 0.686
Mn1 0.000 0.000 0.500

| no. | density of states at the Fermi level (states/eV/atom) |
| --- | --- |
| 1 | 0.599 |
| 2 | 0.821 |
| 3 | 0.742 |
| 4 | 1.176 |
| 5 | 1.370 |
| 6 | 1.360 |